# PrSm4N4 PBE optimized geometry
# E_form (uncorrected): -124.0 kJ per mole of atoms
# D(E_F): 3.314 states/eV/cell
# energy: -7.614 eV per atom
# calculated density: 7.90 Mg/m³
# symmetry: I4/m (87)
# total moment: 0.00 μB/cell
data_PrSm4N4
_chemical_formula_sum 'Pr1 Sm4 N4'
_space_group_name_H-M_alt 'P 1'
_space_group_IT_number 1
_cell_length_a 5.079
_cell_length_b 6.287
_cell_length_c 6.286
_cell_angle_alpha 80.57
_cell_angle_beta 66.12
_cell_angle_gamma 66.12
loop_
_space_group_symop_operation_xyz
'x,y,z'
loop_
_atom_site_label
_atom_site_type_symbol
_atom_site_fract_x
_atom_site_fract_y
_atom_site_fract_z
Pr1 Pr 0.000 0.000 0.000
Sm1 Sm 0.610 0.575 0.205
Sm2 Sm 0.390 0.425 0.795
Sm3 Sm 0.185 0.205 0.425
Sm4 Sm 0.815 0.795 0.575
N1 N 0.902 0.401 0.796
N2 N 0.098 0.599 0.204
N3 N 0.302 0.796 0.599
N4 N 0.698 0.204 0.401